Here is a relaxed structure of CsLi2Au2 from the Alexandria database. Energies are from PBE.

a b c (Å): 6.794 6.794 6.794
angles (deg): 139.78 139.78 58.18
Fractional positions:
1 Cs 0.000 0.000 0.000
2 Li 0.250 0.750 0.500
3 Li 0.750 0.250 0.500
4 Au 0.374 0.374 0.000
5 Au 0.626 0.626 0.000

Results
- Space-group type: I4/mmm
- Volume: 25.91 Å³/atom
- Density of states at the Fermi level: 3.71 states/eV per cell
- Crystal system: tetragonal
- Formation energy from the elements: -0.326 eV per atom
- Offset from the most stable computed form: 0.00 eV per formula unit
- Total energy: -12.87 eV per cell


Here is a relaxed structure of CsLiAu4 from the Alexandria database. Energies are from PBE.

a b c (Å): 5.825 5.825 5.825
angles (deg): 60.00 60.00 60.00
Fractional positions:
1 Cs 0.000 0.000 0.000
2 Li 0.250 0.250 0.250
3 Au 0.128 0.624 0.624
4 Au 0.624 0.128 0.624
5 Au 0.624 0.624 0.128
6 Au 0.624 0.624 0.624

Results
- Space-group type: F-43m
- Volume: 23.29 Å³/atom
- Density of states at the Fermi level: 0.94 states/eV per cell
- Crystal system: cubic
- Formation energy from the elements: -0.134 eV per atom
- Total energy: -16.68 eV per cell


Here is a relaxed structure of Cs4Li2Au from the Alexandria database. Energies are from PBE.

a b c (Å): 10.640 10.640 10.640
angles (deg): 139.89 139.89 58.02
Fractional positions:
1 Cs 0.000 0.500 0.500
2 Cs 0.191 0.191 0.000
3 Cs 0.500 0.000 0.500
4 Cs 0.809 0.809 0.000
5 Li 0.412 0.412 0.000
6 Li 0.588 0.588 0.000
7 Au 0.000 0.000 0.000

Results
- Space-group type: I4/mmm
- Volume: 70.77 Å³/atom
- Density of states at the Fermi level: 5.11 states/eV per cell
- Crystal system: tetragonal
- Formation energy from the elements: 0.059 eV per atom
- Total energy: -10.11 eV per cell


Here is a relaxed structure of CsLi3Au from the Alexandria database. Energies are from PBE.

a b c (Å): 5.340 5.340 5.340
angles (deg): 90.00 90.00 90.00
Fractional positions:
1 Cs 0.000 0.000 0.000
2 Li 0.000 0.500 0.500
3 Li 0.500 0.000 0.500
4 Li 0.500 0.500 0.000
5 Au 0.500 0.500 0.500

Results
- Space-group type: Pm-3m
- Volume: 30.45 Å³/atom
- Density of states at the Fermi level: 4.45 states/eV per cell
- Crystal system: cubic
- Formation energy from the elements: -0.094 eV per atom
- Offset from the most stable computed form: 0.00 eV per formula unit
- Total energy: -10.34 eV per cell


Here is a relaxed structure of Cs5Li2Au4 from the Alexandria database. Energies are from PBE.

a b c (Å): 11.486 11.486 10.289
angles (deg): 111.31 111.31 24.59
Fractional positions:
1 Cs 0.000 0.000 0.000
2 Cs 0.310 0.310 0.901
3 Cs 0.371 0.371 0.453
4 Cs 0.629 0.629 0.547
5 Cs 0.690 0.690 0.099
6 Li 0.015 0.015 0.663
7 Li 0.985 0.985 0.337
8 Au 0.132 0.132 0.827
9 Au 0.458 0.458 0.230
10 Au 0.542 0.542 0.770
11 Au 0.868 0.868 0.173

Results
- Space-group type: C2/m
- Volume: 47.67 Å³/atom
- Density of states at the Fermi level: 5.60 states/eV per cell
- Crystal system: monoclinic
- Formation energy from the elements: -0.228 eV per atom
- Total energy: -23.71 eV per cell


Here is a relaxed structure of CsNaLi2Au from the Alexandria database. Energies are from PBE.

a b c (Å): 5.369 5.369 5.861
angles (deg): 90.00 90.00 90.00
Fractional positions:
1 Cs 0.000 0.000 0.000
2 Na 0.500 0.500 0.000
3 Li 0.000 0.500 0.500
4 Li 0.500 0.000 0.500
5 Au 0.500 0.500 0.500

Results
- Space-group type: P4/mmm
- Volume: 33.79 Å³/atom
- Density of states at the Fermi level: 2.62 states/eV per cell
- Crystal system: tetragonal
- Formation energy from the elements: -0.086 eV per atom
- Total energy: -9.71 eV per cell